[1]
First-principles (GGA-PBE) data for a relaxed structure of CaY2TiAl, as listed in Alexandria.

Geometry as POSCAR:
```
CaY2TiAl
1.0
5.3584 0.0000 0.0000
0.0000 5.2056 0.0000
0.0000 0.0000 5.3584
Y Al Ti Ca
2 1 1 1
direct
0.5000 0.0000 0.0000 Y
0.0000 0.0000 0.5000 Y
0.0000 0.5000 0.0000 Al
0.5000 0.5000 0.5000 Ti
0.0000 0.0000 0.0000 Ca
```

E_form = 651 kJ/mol of formula units
Energy = -0.2913 Ry per atom
Total magnetization = 0.0 Bohr magnetons per cell

=====

[2]
First-principles (GGA-PBE) data for a relaxed structure of Sm2DyErMg, as listed in Alexandria.

Geometry as POSCAR:
```
Sm2DyErMg
1.0
7.0592 0.0000 0.0000
0.0000 7.4334 1.4464
0.0000 -1.1274 5.7961
Mg Sm Dy Er
2 4 2 2
direct
0.0000 0.0000 0.5000 Mg
0.0000 0.0000 0.0000 Mg
0.6949 0.2880 0.7501 Sm
0.3051 0.7120 0.2499 Sm
0.6949 0.7120 0.7499 Sm
0.3051 0.2880 0.2501 Sm
0.6194 0.0000 0.2500 Dy
0.3806 0.0000 0.7500 Dy
0.1552 0.5000 0.7500 Er
0.8448 0.5000 0.2500 Er
```

E_form = 86 kJ/mol of formula units
Energy = -0.2839 Ry per atom
Total magnetization = 0.0 Bohr magnetons per cell

=====

[3]
First-principles (GGA-PBE) data for a relaxed structure of Ac2Tl2Cd3, as listed in Alexandria.

Geometry as POSCAR:
```
Ac2Tl2Cd3
1.0
3.7741 0.0000 0.0000
0.0000 4.7993 0.0000
0.0000 -2.3997 12.0667
Cd Ac Tl
3 2 2
direct
0.5000 0.4376 0.8753 Cd
0.0000 0.0000 0.0000 Cd
0.5000 0.5624 0.1247 Cd
0.0000 0.1474 0.2948 Ac
0.0000 0.8526 0.7052 Ac
0.5000 0.2881 0.5763 Tl
0.5000 0.7119 0.4237 Tl
```

E_form = -109 kJ/mol of formula units
Energy = -0.1767 Ry per atom
Total magnetization = 0.0 Bohr magnetons per cell

=====

[4]
First-principles (GGA-PBE) data for a relaxed structure of Pm8Sb2Te, as listed in Alexandria.

Geometry as POSCAR:
```
Pm8Sb2Te
1.0
-2.4213 -2.9311 2.6947
-1.7631 -4.5272 -6.5088
9.0464 -3.3010 0.5088
Pm Sb Te
8 2 1
direct
0.3346 0.9626 0.6692 Pm
0.6654 0.0374 0.3308 Pm
0.9993 0.7469 0.9986 Pm
0.7842 0.6383 0.5685 Pm
0.2158 0.3617 0.4315 Pm
0.5997 0.5194 0.1994 Pm
0.0007 0.2531 0.0014 Pm
0.4003 0.4806 0.8006 Pm
0.8243 0.2326 0.6486 Sb
0.1757 0.7674 0.3514 Sb
0.5000 0.0000 0.0000 Te
```

Energy = -0.3750 Ry per atom
Formation energy without anion corrections = -0.61 eV/atom
Total magnetization = 0.0 Bohr magnetons per cell

=====

[5]
First-principles (GGA-PBE) data for a relaxed structure of HfTi3Mo, as listed in Alexandria.

Geometry as POSCAR:
```
HfTi3Mo
1.0
-1.9480 4.2054 0.7114
-2.8585 -0.7068 -3.6490
-3.1655 -1.9496 2.8574
Ti Mo Hf
3 1 1
direct
0.0000 0.0000 0.5000 Ti
0.5000 0.0000 0.0000 Ti
0.0000 0.5000 0.0000 Ti
0.5000 0.5000 0.5000 Mo
0.0000 0.0000 0.0000 Hf
```

E_form = 744 kJ/mol of formula units
Energy = -0.5404 Ry per atom
Total magnetization = 0.0 Bohr magnetons per cell

=====

[6]
First-principles (GGA-PBE) data for a relaxed structure of HfMoHRh2, as listed in Alexandria.

Geometry as POSCAR:
```
HfMoHRh2
1.0
-0.6700 3.9162 0.3963
-3.3676 -0.7784 1.9990
2.1072 0.0013 3.5503
Hf Rh Mo H
1 2 1 1
direct
0.0000 0.0000 0.5000 Hf
0.5000 0.0000 0.0000 Rh
0.0000 0.5000 0.0000 Rh
0.5000 0.5000 0.5000 Mo
0.0000 0.0000 0.0000 H
```

Energy = -0.5943 Ry per atom
Total magnetization = 0.0 Bohr magnetons per cell

=====

[7]
First-principles (GGA-PBE) data for a relaxed structure of Zr2ScGeW, as listed in Alexandria.

Geometry as POSCAR:
```
Zr2ScGeW
1.0
5.0825 0.0000 0.0000
0.0000 5.0825 0.0000
0.0000 0.0000 4.9034
Sc Ge Zr W
1 1 2 1
direct
0.5000 0.5000 0.5000 Sc
0.0000 0.0000 0.5000 Ge
0.5000 0.0000 0.0000 Zr
0.0000 0.5000 0.0000 Zr
0.0000 0.0000 0.0000 W
```

E_form = 293 kJ/mol of formula units
Energy = -0.5580 Ry per atom
Total magnetization = 0.0 Bohr magnetons per cell

=====

[8]
First-principles (GGA-PBE) data for a relaxed structure of DyPaCdIn, as listed in Alexandria.

Geometry as POSCAR:
```
DyPaCdIn
1.0
-3.7352 3.7630 -0.2264
-4.5011 -0.5601 2.7547
-0.9263 3.0767 4.2236
Dy Pa Cd In
1 1 1 1
direct
0.5000 0.5000 0.5000 Dy
0.0000 0.0000 0.0000 Pa
0.7500 0.7500 0.7500 Cd
0.2500 0.2500 0.2500 In
```

E_form = -2 kJ/mol of formula units
Energy = -0.3266 Ry per atom
Total magnetization = 1.0 Bohr magnetons per cell

=====

[9]
First-principles (GGA-PBE) data for a relaxed structure of HoThHg2, as listed in Alexandria.

Geometry as POSCAR:
```
HoThHg2
1.0
-2.8242 0.6433 2.2075
-1.6782 -2.7706 1.6645
4.6426 0.1424 8.9020
Ho Hg Th
1 2 1
direct
0.0000 0.0000 0.0000 Ho
0.2550 0.2550 0.2351 Hg
0.7450 0.7450 0.7649 Hg
0.5000 0.5000 0.5000 Th
```

E_form = -87 kJ/mol of formula units
Energy = -0.2481 Ry per atom
Total magnetization = 0.0 Bohr magnetons per cell

=====

[10]
First-principles (GGA-PBE) data for a relaxed structure of LiHoThHg, as listed in Alexandria.

Geometry as POSCAR:
```
LiHoThHg
1.0
5.2856 0.0000 0.0000
2.6428 4.5774 0.0000
2.6428 1.5258 4.3156
Li Ho Hg Th
1 1 1 1
direct
0.0000 0.0000 0.0000 Li
0.7500 0.7500 0.7500 Ho
0.5000 0.5000 0.5000 Hg
0.2500 0.2500 0.2500 Th
```

E_form = -22 kJ/mol of formula units
Energy = -0.2653 Ry per atom
Total magnetization = 0.2 Bohr magnetons per cell

=====

[11]
First-principles (GGA-PBE) data for a relaxed structure of La2Ni, as listed in Alexandria.

Geometry as POSCAR:
```
La2Ni
1.0
-2.1987 3.1889 -0.0290
-3.1131 -4.4638 3.8491
-0.0884 0.0169 8.5472
La Ni
4 2
direct
0.6982 0.3964 0.6172 La
0.3573 0.7147 0.7717 La
0.9410 0.8820 0.0857 La
0.1146 0.2291 0.3032 La
0.4027 0.8053 0.3753 Ni
0.6529 0.3058 0.0136 Ni
```

E_form = -66 kJ/mol of formula units
Energy = -0.3999 Ry per atom
Total magnetization = 0.0 Bohr magnetons per cell

=====

[12]
First-principles (GGA-PBE) data for a relaxed structure of Na2TbBiTe4, as listed in Alexandria.

Geometry as POSCAR:
```
Na2TbBiTe4
1.0
-3.5526 -1.6611 -2.1387
3.8394 0.4998 -6.7660
1.4191 -7.1996 3.2346
Te Na Tb Bi
4 2 1 1
direct
0.5000 0.2492 0.2358 Te
0.0000 0.2589 0.7674 Te
0.0000 0.7411 0.2326 Te
0.5000 0.7508 0.7642 Te
0.5000 0.0000 0.5000 Na
0.0000 0.5000 0.5000 Na
0.5000 0.5000 0.0000 Tb
0.0000 0.0000 0.0000 Bi
```

Energy = -0.2860 Ry per atom
Formation energy without anion corrections = -0.93 eV/atom
Total magnetization = 0.0 Bohr magnetons per cell

=====

[13]
First-principles (GGA-PBE) data for a relaxed structure of TlGaAg2, as listed in Alexandria.

Geometry as POSCAR:
```
TlGaAg2
1.0
3.1881 0.0000 0.0000
0.0000 3.1881 0.0000
0.0000 0.0000 8.1941
Ga Ag Tl
1 2 1
direct
0.5000 0.5000 0.0000 Ga
0.0000 0.0000 0.7924 Ag
0.0000 0.0000 0.2076 Ag
0.5000 0.5000 0.5000 Tl
```

E_form = 36 kJ/mol of formula units
Energy = -0.1971 Ry per atom
Total magnetization = 0.0 Bohr magnetons per cell

=====

[14]
First-principles (GGA-PBE) data for a relaxed structure of BeSbW, as listed in Alexandria.

Geometry as POSCAR:
```
BeSbW
1.0
3.0531 0.0000 0.0000
-1.5265 2.6440 0.0000
0.0000 0.0000 6.2366
W Be Sb
1 1 1
direct
0.3333 0.6667 0.6920 W
0.0000 0.0000 0.9796 Be
0.6667 0.3333 0.3285 Sb
```

Energy = -0.4579 Ry per atom
Formation energy without anion corrections = 0.70 eV/atom
Total magnetization = 0.0 Bohr magnetons per cell

=====

[15]
First-principles (GGA-PBE) data for a relaxed structure of Pm4Nd2Tm5, as listed in Alexandria.

Geometry as POSCAR:
```
Pm4Nd2Tm5
1.0
-1.4237 1.5475 2.8413
-2.1915 -7.7664 3.1318
13.2382 5.5083 1.4345
Pm Tm Nd
4 5 2
direct
0.9591 0.2583 0.9182 Pm
0.4115 0.5187 0.8230 Pm
0.5885 0.4813 0.1770 Pm
0.0409 0.7417 0.0818 Pm
0.8701 0.7875 0.7402 Tm
0.1865 0.9010 0.3730 Tm
0.8135 0.0990 0.6270 Tm
0.5000 0.0000 0.0000 Tm
0.1299 0.2125 0.2598 Tm
0.2750 0.3756 0.5500 Nd
0.7250 0.6244 0.4500 Nd
```

E_form = 124 kJ/mol of formula units
Energy = -0.3315 Ry per atom
Total magnetization = 0.0 Bohr magnetons per cell

=====

[16]
First-principles (GGA-PBE) data for a relaxed structure of BeCr2As, as listed in Alexandria.

Geometry as POSCAR:
```
BeCr2As
1.0
3.0024 0.0000 0.0000
0.0000 3.0024 0.0000
0.0000 0.0000 5.4090
Cr Be As
2 1 1
direct
0.0000 0.0000 0.9951 Cr
0.0000 0.0000 0.5049 Cr
0.5000 0.5000 0.7500 Be
0.5000 0.5000 0.2500 As
```

E_form = 74 kJ/mol of formula units
Energy = -0.4934 Ry per atom
Total magnetization = 3.9 Bohr magnetons per cell

=====

[17]
First-principles (GGA-PBE) data for a relaxed structure of PrThAlAg, as listed in Alexandria.

Geometry as POSCAR:
```
PrThAlAg
1.0
-1.7180 -5.0284 -0.2918
3.3944 -3.9033 -1.2507
1.4712 -3.5334 3.6976
Th Pr Ag Al
1 1 1 1
direct
0.0000 0.0000 0.0000 Th
0.5000 0.5000 0.5000 Pr
0.2500 0.2500 0.2500 Ag
0.7500 0.7500 0.7500 Al
```

E_form = -65 kJ/mol of formula units
Energy = -0.3577 Ry per atom
Total magnetization = 0.0 Bohr magnetons per cell

=====

[18]
First-principles (GGA-PBE) data for a relaxed structure of Ac2HoTm2Hg5, as listed in Alexandria.

Geometry as POSCAR:
```
Ac2HoTm2Hg5
1.0
3.9457 0.0000 0.0000
0.0000 12.1335 0.0000
0.0000 0.0000 12.1335
Hg Ac Tm Ho
10 4 4 2
direct
0.5000 0.6839 0.4238 Hg
0.5000 0.5000 0.0000 Hg
0.5000 0.9238 0.1839 Hg
0.5000 0.1839 0.0762 Hg
0.5000 0.3161 0.5762 Hg
0.5000 0.0000 0.5000 Hg
0.5000 0.8161 0.9238 Hg
0.5000 0.4238 0.3161 Hg
0.5000 0.5762 0.6839 Hg
0.5000 0.0762 0.8161 Hg
0.0000 0.3268 0.8268 Ac
0.0000 0.6732 0.1732 Ac
0.0000 0.8268 0.6732 Ac
0.0000 0.1732 0.3268 Ac
0.0000 0.8710 0.3710 Tm
0.0000 0.6290 0.8710 Tm
0.0000 0.1290 0.6290 Tm
0.0000 0.3710 0.1290 Tm
0.0000 0.5000 0.5000 Ho
0.0000 0.0000 0.0000 Ho
```

E_form = -341 kJ/mol of formula units
Energy = -0.1968 Ry per atom
Total magnetization = 1.3 Bohr magnetons per cell

=====

[19]
First-principles (GGA-PBE) data for a relaxed structure of ScBeCr4, as listed in Alexandria.

Geometry as POSCAR:
```
ScBeCr4
1.0
0.0000 3.4176 3.4176
3.4176 0.0000 3.4176
3.4176 3.4176 0.0000
Cr Be Sc
4 1 1
direct
0.3739 0.3739 0.3739 Cr
0.8784 0.3739 0.3739 Cr
0.3739 0.3739 0.8784 Cr
0.3739 0.8784 0.3739 Cr
0.0000 0.0000 0.0000 Be
0.7500 0.7500 0.7500 Sc
```

E_form = 184 kJ/mol of formula units
Energy = -0.5714 Ry per atom
Total magnetization = 0.0 Bohr magnetons per cell

=====

[20]
First-principles (GGA-PBE) data for a relaxed structure of Tb3PmHo2, as listed in Alexandria.

Geometry as POSCAR:
```
Tb3PmHo2
1.0
-1.7753 3.0748 0.7998
1.0475 -2.2722 11.0602
8.5543 4.2788 -5.7424
Tb Pm Ho
6 2 4
direct
0.2781 0.1547 0.5563 Tb
0.3879 0.5138 0.7758 Tb
0.7219 0.8453 0.4437 Tb
0.0551 0.6786 0.1101 Tb
0.6121 0.4862 0.2242 Tb
0.9449 0.3214 0.8899 Tb
0.3891 0.0131 0.7782 Pm
0.6109 0.9869 0.2218 Pm
0.7225 0.3491 0.4451 Ho
0.9434 0.8168 0.8868 Ho
0.2775 0.6509 0.5549 Ho
0.0566 0.1832 0.1132 Ho
```

E_form = 8 kJ/mol of formula units
Energy = -0.3395 Ry per atom
Total magnetization = 0.0 Bohr magnetons per cell